Record 1
The following is a PBE-GGA calculation of an optimized crystal structure of Li3InPd7, from Alexandria.

Computed properties:
magnetic moment	0.00	μB per cell
energy of formation	-0.28	eV/atom
uncorrected energy	-47.877	eV per formula unit

Lattice parameters (Å, degrees): 5.946 5.946 5.096 93.70 93.70 85.53
Sites, in units of the cell vectors:
Li 0.000 0.000 0.000
Li 0.188 0.812 0.500
Li 0.812 0.188 0.500
In 0.500 0.500 0.000
Pd 0.082 0.418 0.237
Pd 0.225 0.225 0.722
Pd 0.418 0.082 0.237
Pd 0.500 0.500 0.500
Pd 0.582 0.918 0.763
Pd 0.775 0.775 0.278
Pd 0.918 0.582 0.763

Record 2
The following is a PBE-GGA calculation of an optimized crystal structure of CsRbSCl2, from Alexandria.

Computed properties:
energy relative to the lowest polymorph listed for this composition	0.525	eV/f.u.
magnetic moment	1.04	μB per cell
uncorrected energy	-12.986	eV per formula unit
formation energy (no corrections)	-669	meV/atom

Lattice parameters (Å, degrees): 6.413 6.413 5.697 90.00 90.00 90.00
Sites, in units of the cell vectors:
Cs 0.000 0.000 0.000
Rb 0.500 0.500 0.500
S 0.000 0.000 0.500
Cl 0.000 0.500 0.000
Cl 0.500 0.000 0.000

Record 3
The following is a PBE-GGA calculation of an optimized crystal structure of Ac2ZnSi, from Alexandria.

Computed properties:
energy relative to the lowest polymorph listed for this composition	0.445	eV/f.u.
magnetic moment	0.00	μB per cell
uncorrected energy	-16.175	eV per formula unit
formation energy (no corrections)	-315	meV/atom

Lattice parameters (Å, degrees): 5.472 5.472 5.472 60.00 60.00 60.00
Sites, in units of the cell vectors:
Ac 0.250 0.250 0.250
Ac 0.750 0.750 0.750
Zn 0.000 0.000 0.000
Si 0.500 0.500 0.500

Record 4
The following is a PBE-GGA calculation of an optimized crystal structure of RbHfSCl2, from Alexandria.

Computed properties:
energy relative to the lowest polymorph listed for this composition	10.660	eV/f.u.
magnetic moment	1.87	μB per cell
uncorrected energy	-15.680	eV per formula unit
formation energy (no corrections)	612	meV/atom

Lattice parameters (Å, degrees): 5.556 5.556 5.594 90.00 90.00 90.00
Sites, in units of the cell vectors:
Rb 0.000 0.000 0.000
Hf 0.500 0.500 0.500
S 0.000 0.000 0.500
Cl 0.000 0.500 0.000
Cl 0.500 0.000 0.000